Here is a relaxed MnSiTc2 crystal from Alexandria. Energies are from PBE-GGA.

**Size of the total moment**: 0.5071 μB per atom
**DFT total energy**: -9.10 eV/atom
**Mass density**: 8.81 g cm⁻³
**Crystal system**: orthorhombic
**Energy relative to the elements, uncorrected**: -270 meV per atom

Geometry as CIF:
```
data_MnSiTc2
_cell_length_a 3.008
_cell_length_b 4.142
_cell_length_c 8.442
_cell_angle_alpha 90.00
_cell_angle_beta 90.00
_cell_angle_gamma 90.00
_space_group_name_H-M_alt 'I m m 2'
_space_group_IT_number 44
loop_
_space_group_symop_operation_xyz
'x,y,z'
'-x,-y,z'
'-x,y,z'
'x,-y,z'
'x+1/2,y+1/2,z+1/2'
'-x+1/2,-y+1/2,z+1/2'
'-x+1/2,y+1/2,z+1/2'
'x+1/2,-y+1/2,z+1/2'
loop_
_atom_site_label
_atom_site_type_symbol
_atom_site_fract_x
_atom_site_fract_y
_atom_site_fract_z
_atom_site_occupancy
Mn1 Mn 0.000 0.000 0.000 1
Si1 Si 0.000 0.500 0.733 1
Tc1 Tc 0.000 0.000 0.480 1
Tc2 Tc 0.000 0.500 0.242 1
```